A plane-wave DFT calculation with GGA-PBE was carried out for crystalline Ti2ZnGe2 at its relaxed geometry.

Structure (POSCAR):
```
Ti2ZnGe2
1.0
6.663 0.000 0.000
0.000 6.663 0.000
0.000 0.000 3.631
Ge Zn Ti
4 2 4
Direct
0.363 0.863 0.000
0.863 0.637 0.000
0.637 0.137 0.000
0.137 0.363 0.000
0.000 0.000 0.000
0.500 0.500 0.000
0.164 0.664 0.500
0.664 0.836 0.500
0.836 0.336 0.500
0.336 0.164 0.500
```

Output
As for the symmetry: No. 127. The value obtained for the theoretical density is 6.31 g cm⁻³. The volume comes out at 16.1 A^3/atom. The offset from the most stable computed form comes out at 0.000 eV per atom.